1.
# Cu2BF | Alexandria via LeMat-Bulk | PBE | relaxed
# Raw total energy   -4.241 eV per atom
# Calculated volume   93.1 Å³/cell
# Relative energy among the computed polymorphs   0 meV per atom
# DOS at the Fermi energy   0.00 states/eV per cell
# E_form (uncorrected)   -0.056 eV per atom
# Magnetic moment   0.00 μB per cell
# Space-group type   I-42d, No. 122
data_Cu2BF
_space_group_name_H-M_alt 'P 1'
_space_group_IT_number 1
_space_group_name_Hall 'P 1'
_cell_length_a 5.381
_cell_length_b 5.381
_cell_length_c 4.982
_cell_angle_alpha 57.31
_cell_angle_beta 57.31
_cell_angle_gamma 90.00
loop_
_atom_site_label
_atom_site_type_symbol
_atom_site_fract_x
_atom_site_fract_y
_atom_site_fract_z
_atom_site_occupancy
Cu1 Cu 0.597 0.125 0.250 1
Cu2 Cu 0.153 0.625 0.250 1
B1 B 0.250 0.750 0.500 1
F1 F 0.000 0.000 0.000 1
F2 F 0.750 0.250 0.500 1
B2 B 0.500 0.500 0.000 1
Cu3 Cu 0.375 0.403 0.750 1
Cu4 Cu 0.875 0.847 0.750 1

=====

2.
# Li4Tb3InS8 | Alexandria via LeMat-Bulk | PBE | relaxed
# Raw total energy   -5.165 eV per atom
# Calculated volume   325.0 Å³/cell
# E_form (uncorrected)   -1.584 eV per atom
# Magnetic moment   0.00 μB per cell
# Space-group type   R-3m, No. 166
data_Li4Tb3InS8
_space_group_name_H-M_alt 'P 1'
_space_group_IT_number 1
_space_group_name_Hall 'P 1'
_cell_length_a 7.778
_cell_length_b 7.659
_cell_length_c 7.778
_cell_angle_alpha 120.52
_cell_angle_beta 120.00
_cell_angle_gamma 90.00
loop_
_atom_site_label
_atom_site_type_symbol
_atom_site_fract_x
_atom_site_fract_y
_atom_site_fract_z
_atom_site_occupancy
S1 S 0.250 0.249 0.499 1
S2 S 0.247 0.752 0.005 1
Li1 Li 0.500 0.000 0.500 1
In1 In 0.000 0.500 0.000 1
Li2 Li 0.000 0.000 0.500 1
S3 S 0.753 0.248 0.506 1
S4 S 0.758 0.752 0.005 1
S5 S 0.750 0.751 0.501 1
Li3 Li 0.000 0.000 0.000 1
S6 S 0.753 0.248 0.995 1
Li4 Li 0.500 0.000 0.000 1
Tb1 Tb 0.500 0.500 0.000 1
S7 S 0.242 0.248 0.995 1
S8 S 0.247 0.752 0.494 1
Tb2 Tb 0.000 0.500 0.500 1
Tb3 Tb 0.500 0.500 0.500 1

=====

3.
# Pr3NdTm2 | Alexandria via LeMat-Bulk | PBE | relaxed
# Energy of formation from the pure elements   268 meV per atom
# Raw total energy   -4.407 eV per atom
# Calculated volume   432.6 Å³/cell
# Relative energy among the computed polymorphs   0 meV per atom
# DOS at the Fermi energy   18.63 states/eV per cell
# Magnetic moment   0.00 μB per cell
# Space-group type   Cmcm, No. 63
data_Pr3NdTm2
_space_group_name_H-M_alt 'P 1'
_space_group_IT_number 1
_space_group_name_Hall 'P 1'
_cell_length_a 5.636
_cell_length_b 9.085
_cell_length_c 9.085
_cell_angle_alpha 111.57
_cell_angle_beta 90.00
_cell_angle_gamma 90.00
loop_
_atom_site_label
_atom_site_type_symbol
_atom_site_fract_x
_atom_site_fract_y
_atom_site_fract_z
_atom_site_occupancy
Pr1 Pr 0.993 0.368 0.893 1
Pr2 Pr 0.493 0.107 0.632 1
Tm1 Tm 0.493 0.487 0.700 1
Nd1 Nd 0.493 0.264 0.264 1
Pr3 Pr 0.993 0.893 0.368 1
Pr4 Pr 0.493 0.906 0.906 1
Nd2 Nd 0.993 0.736 0.736 1
Tm2 Tm 0.493 0.700 0.487 1
Pr5 Pr 0.493 0.632 0.107 1
Tm3 Tm 0.993 0.300 0.513 1
Pr6 Pr 0.993 0.094 0.094 1
Tm4 Tm 0.993 0.513 0.300 1

=====

4.
# YMn12C6 | Alexandria via LeMat-Bulk | PBE | relaxed
# Energy of formation from the pure elements   -66 meV per atom
# Raw total energy   -9.111 eV per atom
# Calculated volume   187.9 Å³/cell
# DOS at the Fermi energy   19.24 states/eV per cell
# Magnetic moment   9.77 μB per cell
# Space-group type   R-3m, No. 166
data_YMn12C6
_space_group_name_H-M_alt 'P 1'
_space_group_IT_number 1
_space_group_name_Hall 'P 1'
_cell_length_a 5.921
_cell_length_b 5.921
_cell_length_c 5.921
_cell_angle_alpha 103.20
_cell_angle_beta 103.20
_cell_angle_gamma 103.20
loop_
_atom_site_label
_atom_site_type_symbol
_atom_site_fract_x
_atom_site_fract_y
_atom_site_fract_z
_atom_site_occupancy
C1 C 0.670 0.228 0.228 1
Mn1 Mn 0.461 0.461 0.189 1
Mn2 Mn 0.133 0.867 0.500 1
C2 C 0.228 0.228 0.670 1
C3 C 0.330 0.772 0.772 1
C4 C 0.772 0.772 0.330 1
Mn3 Mn 0.811 0.539 0.539 1
Mn4 Mn 0.133 0.500 0.867 1
Y1 Y 0.000 0.000 0.000 1
C5 C 0.772 0.330 0.772 1
Mn5 Mn 0.539 0.539 0.811 1
Mn6 Mn 0.867 0.133 0.500 1
Mn7 Mn 0.500 0.133 0.867 1
C6 C 0.228 0.670 0.228 1
Mn8 Mn 0.539 0.811 0.539 1
Mn9 Mn 0.500 0.867 0.133 1
Mn10 Mn 0.189 0.461 0.461 1
Mn11 Mn 0.461 0.189 0.461 1
Mn12 Mn 0.867 0.500 0.133 1

=====

5.
# Nd3Sn2Pb | Alexandria via LeMat-Bulk | PBE | relaxed
# Energy of formation from the pure elements   -550 meV per atom
# Raw total energy   -4.886 eV per atom
# Calculated volume   386.3 Å³/cell
# Relative energy among the computed polymorphs   72 meV per atom
# DOS at the Fermi energy   7.24 states/eV per cell
# Magnetic moment   0.00 μB per cell
# Space-group type   C2/c, No. 15
data_Nd3Sn2Pb
_space_group_name_H-M_alt 'P 1'
_space_group_IT_number 1
_space_group_name_Hall 'P 1'
_cell_length_a 6.426
_cell_length_b 7.491
_cell_length_c 8.843
_cell_angle_alpha 102.16
_cell_angle_beta 111.30
_cell_angle_gamma 90.00
loop_
_atom_site_label
_atom_site_type_symbol
_atom_site_fract_x
_atom_site_fract_y
_atom_site_fract_z
_atom_site_occupancy
Nd1 Nd 0.508 0.250 0.000 1
Nd2 Nd 0.833 0.415 0.660 1
Nd3 Nd 0.492 0.750 0.000 1
Pb1 Pb 0.008 0.250 0.000 1
Sn1 Sn 0.662 0.583 0.331 1
Nd4 Nd 0.167 0.585 0.340 1
Nd5 Nd 0.827 0.915 0.660 1
Sn2 Sn 0.338 0.417 0.669 1
Sn3 Sn 0.331 0.917 0.669 1
Sn4 Sn 0.669 0.083 0.331 1
Nd6 Nd 0.173 0.085 0.340 1
Pb2 Pb 0.992 0.750 0.000 1

=====

6.
# SrCl | Alexandria via LeMat-Bulk | PBE | relaxed
# Raw total energy   -3.190 eV per atom
# Calculated volume   579.6 Å³/cell
# DOS at the Fermi energy   9.67 states/eV per cell
# E_form (uncorrected)   -1.426 eV per atom
# Magnetic moment   0.00 μB per cell
# Space-group type   Pm-3n, No. 223
data_SrCl
_space_group_name_H-M_alt 'P 1'
_space_group_IT_number 1
_space_group_name_Hall 'P 1'
_cell_length_a 8.337
_cell_length_b 8.337
_cell_length_c 8.337
_cell_angle_alpha 90.00
_cell_angle_beta 90.00
_cell_angle_gamma 90.00
loop_
_atom_site_label
_atom_site_type_symbol
_atom_site_fract_x
_atom_site_fract_y
_atom_site_fract_z
_atom_site_occupancy
Sr1 Sr 0.500 0.000 0.250 1
Cl1 Cl 0.000 0.500 0.750 1
Sr2 Sr 0.750 0.500 0.000 1
Cl2 Cl 0.000 0.500 0.250 1
Cl3 Cl 0.500 0.250 0.000 1
Sr3 Sr 0.000 0.750 0.500 1
Cl4 Cl 0.500 0.750 0.000 1
Cl5 Cl 0.250 0.000 0.500 1
Sr4 Sr 0.000 0.250 0.500 1
Sr5 Sr 0.250 0.500 0.000 1
Cl6 Cl 0.750 0.000 0.500 1
Sr6 Sr 0.500 0.000 0.750 1

=====

Copy entry 2 word for word.
# Li4Tb3InS8 | Alexandria via LeMat-Bulk | PBE | relaxed
# Raw total energy   -5.165 eV per atom
# Calculated volume   325.0 Å³/cell
# E_form (uncorrected)   -1.584 eV per atom
# Magnetic moment   0.00 μB per cell
# Space-group type   R-3m, No. 166
data_Li4Tb3InS8
_space_group_name_H-M_alt 'P 1'
_space_group_IT_number 1
_space_group_name_Hall 'P 1'
_cell_length_a 7.778
_cell_length_b 7.659
_cell_length_c 7.778
_cell_angle_alpha 120.52
_cell_angle_beta 120.00
_cell_angle_gamma 90.00
loop_
_atom_site_label
_atom_site_type_symbol
_atom_site_fract_x
_atom_site_fract_y
_atom_site_fract_z
_atom_site_occupancy
S1 S 0.250 0.249 0.499 1
S2 S 0.247 0.752 0.005 1
Li1 Li 0.500 0.000 0.500 1
In1 In 0.000 0.500 0.000 1
Li2 Li 0.000 0.000 0.500 1
S3 S 0.753 0.248 0.506 1
S4 S 0.758 0.752 0.005 1
S5 S 0.750 0.751 0.501 1
Li3 Li 0.000 0.000 0.000 1
S6 S 0.753 0.248 0.995 1
Li4 Li 0.500 0.000 0.000 1
Tb1 Tb 0.500 0.500 0.000 1
S7 S 0.242 0.248 0.995 1
S8 S 0.247 0.752 0.494 1
Tb2 Tb 0.000 0.500 0.500 1
Tb3 Tb 0.500 0.500 0.500 1